11
Lattice="6.858 0.028 0.037 -3.365 5.975 0.037 -1.235 -2.123 7.738" Properties=species:S:1:pos:R:3 comment="Na2TiMn2Te6 (PBE, optimized geometry)" vol_a3_per_fu=319 raw_formation_energy_ev_per_fu=-5.560 crystal_system=monoclinic pbc="T T T"
Na 5.156 1.017 0.037
Na -1.664 4.985 0.037
Ti -0.618 -1.062 3.869
Mn -0.603 2.947 3.906
Mn 2.860 0.932 3.906
Te 1.689 2.903 5.479
Te -1.751 0.901 5.480
Te 0.568 0.976 2.332
Te 1.649 -1.077 5.480
Te 4.008 2.978 2.331
Te 0.608 4.956 2.331